1.
! FeTcI3, single point on PBEsol structure, DFT SCAN; values from VASP
! uncorrected formation energy = 0.930 eV/atom
&SYSTEM
  ibrav = 0, nat = 5, ntyp = 3
/
ATOMIC_SPECIES
Fe 55.84 Fe.upf
Tc 98.00 Tc.upf
I 126.90 I.upf
CELL_PARAMETERS angstrom
5.262 0.000 0.000
0.000 5.262 0.000
0.000 0.000 5.262
ATOMIC_POSITIONS crystal
Fe 0.000 0.000 0.000
Tc 0.500 0.500 0.500
I 0.000 0.000 0.500
I 0.000 0.500 0.000
I 0.500 0.000 0.000

2.
! Y2Co, single point on PBEsol structure, DFT SCAN; values from VASP
! formation enthalpy at 0 K = 0.031 eV/atom
&SYSTEM
  ibrav = 0, nat = 9, ntyp = 2
/
ATOMIC_SPECIES
Y 88.91 Y.upf
Co 58.93 Co.upf
CELL_PARAMETERS angstrom
7.001 0.000 0.000
-3.501 6.063 0.000
0.000 0.000 4.639
ATOMIC_POSITIONS crystal
Y 0.000 0.403 0.000
Y 0.000 0.730 0.500
Y 0.270 0.270 0.500
Y 0.403 0.000 0.000
Y 0.597 0.597 0.000
Y 0.730 0.000 0.500
Co 0.000 0.000 0.000
Co 0.333 0.667 0.500
Co 0.667 0.333 0.500

3.
! ZnBiSeN2, single point on PBEsol structure, DFT SCAN; values from VASP
! uncorrected formation energy = 1.216 eV/atom
&SYSTEM
  ibrav = 0, nat = 5, ntyp = 4
/
ATOMIC_SPECIES
Zn 65.41 Zn.upf
Bi 208.98 Bi.upf
Se 78.96 Se.upf
N 14.01 N.upf
CELL_PARAMETERS angstrom
4.079 0.000 0.000
0.000 4.079 0.000
0.000 0.000 4.946
ATOMIC_POSITIONS crystal
Zn 0.000 0.000 0.000
Bi 0.500 0.500 0.500
Se 0.000 0.000 0.500
N 0.000 0.500 0.000
N 0.500 0.000 0.000

4.
! TaMo3, single point on PBEsol structure, DFT SCAN; values from VASP
! formation enthalpy at 0 K = -0.106 eV/atom
&SYSTEM
  ibrav = 0, nat = 8, ntyp = 2
/
ATOMIC_SPECIES
Ta 180.95 Ta.upf
Mo 95.94 Mo.upf
CELL_PARAMETERS angstrom
-2.228 2.242 6.325
2.228 -2.242 6.325
2.228 2.242 -6.325
ATOMIC_POSITIONS crystal
Ta 0.315 0.065 0.250
Ta 0.685 0.935 0.750
Mo 0.062 0.812 0.250
Mo 0.187 0.437 0.750
Mo 0.440 0.690 0.750
Mo 0.560 0.310 0.250
Mo 0.813 0.563 0.250
Mo 0.938 0.188 0.750

5.
! Li7Ni5O12, single point on PBEsol structure, DFT SCAN; values from VASP
! uncorrected formation energy = -1.673 eV/atom
! energy above the most stable polymorph in this dataset = 10 meV per atom
&SYSTEM
  ibrav = 0, nat = 24, ntyp = 3
/
ATOMIC_SPECIES
Li 6.94 Li.upf
Ni 58.69 Ni.upf
O 16.00 O.upf
CELL_PARAMETERS angstrom
5.695 0.000 0.000
1.423 6.138 0.000
2.843 1.336 5.522
ATOMIC_POSITIONS crystal
Li 0.000 0.000 0.000
Li 0.082 0.327 0.164
Li 0.249 0.003 0.499
Li 0.406 0.677 0.838
Li 0.594 0.323 0.162
Li 0.751 0.997 0.501
Li 0.918 0.673 0.836
Ni 0.167 0.668 0.329
Ni 0.331 0.332 0.669
Ni 0.500 0.000 0.000
Ni 0.669 0.668 0.331
Ni 0.833 0.332 0.671
O 0.026 0.661 0.114
O 0.150 0.981 0.241
O 0.202 0.351 0.426
O 0.307 0.652 0.561
O 0.382 0.018 0.759
O 0.463 0.319 0.910
O 0.537 0.681 0.090
O 0.618 0.982 0.241
O 0.693 0.348 0.439
O 0.798 0.649 0.574
O 0.850 0.019 0.759
O 0.974 0.339 0.886

6.
! RbCuAsIr2, single point on PBEsol structure, DFT SCAN; values from VASP
! formation enthalpy at 0 K = 0.735 eV/atom
&SYSTEM
  ibrav = 0, nat = 5, ntyp = 4
/
ATOMIC_SPECIES
Rb 85.47 Rb.upf
Cu 63.55 Cu.upf
As 74.92 As.upf
Ir 192.22 Ir.upf
CELL_PARAMETERS angstrom
4.632 0.000 0.000
0.000 4.632 0.000
0.000 0.000 4.792
ATOMIC_POSITIONS crystal
Rb 0.000 0.000 0.000
Cu 0.500 0.500 0.000
As 0.500 0.500 0.500
Ir 0.000 0.500 0.500
Ir 0.500 0.000 0.500

7.
! Ta5Cd, single point on PBEsol structure, DFT SCAN; values from VASP
! formation enthalpy at 0 K = 0.604 eV/atom
&SYSTEM
  ibrav = 0, nat = 6, ntyp = 2
/
ATOMIC_SPECIES
Ta 180.95 Ta.upf
Cd 112.41 Cd.upf
CELL_PARAMETERS angstrom
5.592 0.000 0.000
-2.796 4.843 0.000
0.000 0.000 4.477
ATOMIC_POSITIONS crystal
Ta 0.000 0.500 0.000
Ta 0.333 0.667 0.500
Ta 0.500 0.000 0.000
Ta 0.500 0.500 0.000
Ta 0.667 0.333 0.500
Cd 0.000 0.000 0.500

8.
! HgMo2Os, single point on PBEsol structure, DFT SCAN; values from VASP
! formation enthalpy at 0 K = 0.236 eV/atom
&SYSTEM
  ibrav = 0, nat = 4, ntyp = 3
/
ATOMIC_SPECIES
Hg 200.59 Hg.upf
Mo 95.94 Mo.upf
Os 190.23 Os.upf
CELL_PARAMETERS angstrom
2.816 0.000 0.000
0.000 2.816 0.000
0.000 0.000 8.038
ATOMIC_POSITIONS crystal
Hg 0.000 0.000 0.000
Mo 0.500 0.500 0.275
Mo 0.500 0.500 0.725
Os 0.000 0.000 0.500

Total DFT energy (no corrections) per entry: -31.75; -24.30; -24.93; -42.92; -8.85; -38.93; -59.95; -52.22 eV/atom